Record 1
Computed, not measured: a relaxed structure of BeMo2Os at the PBE-GGA level of DFT.

Its uncorrected energy is -36.12 eV/cell. The value obtained for the spin magnetization is 0.0 μB per cell. The calculated formation energy comes out at 0.125 eV/atom.

Lattice parameters (Å, degrees): 4.296 4.296 4.296 60.00 60.00 60.00
Fractional coordinates of all 4 atoms:
Be (0.500, 0.500, 0.500)
Mo (0.000, 0.000, 0.000)
Mo (0.250, 0.250, 0.250)
Os (0.750, 0.750, 0.750)

Record 2
Computed, not measured: a relaxed structure of LiV3P at the PBE-GGA level of DFT.

Its uncorrected energy is -32.61 eV/cell. The value obtained for the spin magnetization is 2.7 μB per cell. The calculated formation energy comes out at 0.413 eV/atom.

Lattice parameters (Å, degrees): 4.404 4.404 4.404 90.00 90.00 90.00
Last column: magnetic moment on the atom in μB.
Fractional coordinates of all 5 atoms:
P (0.000, 0.000, 0.000)  -0.04
V (0.000, 0.500, 0.000)  0.82
V (0.000, 0.000, 0.500)  0.82
V (0.500, 0.000, 0.000)  0.82
Li (0.500, 0.500, 0.500)  -0.01

Record 3
Computed, not measured: a relaxed structure of NaTlBiSb at the PBE-GGA level of DFT.

Its uncorrected energy is -11.84 eV/cell. The value obtained for the spin magnetization is 0.0 μB per cell.

Lattice parameters (Å, degrees): 4.134 6.519 5.564 90.00 90.00 108.49
Fractional coordinates of all 4 atoms:
Na (0.784, 0.567, 0.500)
Tl (0.063, 0.126, 0.500)
Bi (0.246, 0.493, 0.000)
Sb (0.919, 0.839, 0.000)

Record 4
Computed, not measured: a relaxed structure of AlInBi2H at the PBE-GGA level of DFT.

Its uncorrected energy is -13.40 eV/cell. The value obtained for the spin magnetization is 0.7 μB per cell.

Lattice parameters (Å, degrees): 5.448 5.500 5.448 90.00 90.00 90.00
Last column: magnetic moment on the atom in μB.
Fractional coordinates of all 5 atoms:
H (0.500, 0.500, 0.500)  0.27
Al (0.000, 0.000, 0.000)  0.00
Bi (0.000, 0.000, 0.500)  0.01
Bi (0.500, 0.000, 0.000)  0.07
In (0.000, 0.500, 0.000)  -0.01